(1)
This record from Alexandria describes a relaxed PuPaSbPt crystal. The functional is PBE-GGA.

```
data_PuPaSbPt
_chemical_formula_sum 'Pu4 Pa4 Sb4 Pt4'
_space_group_name_H-M_alt 'F -4 3 m'
_space_group_IT_number 216
_space_group_name_Hall 'F -4 2 3'
_cell_length_a 7.2996
_cell_length_b 7.2996
_cell_length_c 7.2996
_cell_angle_alpha 90.00
_cell_angle_beta 90.00
_cell_angle_gamma 90.00
loop_
_atom_site_label
_atom_site_type_symbol
_atom_site_fract_x
_atom_site_fract_y
_atom_site_fract_z
_atom_site_occupancy
Pu1 Pu 0.0000 0.0000 0.0000 1
Pa1 Pa 0.0000 0.0000 0.5000 1
Sb1 Sb 0.2500 0.2500 0.2500 1
Pt1 Pt 0.2500 0.2500 0.7500 1
```

Formation energy (no corrections)   -480.9 meV per atom

(2)
This record from Alexandria describes a relaxed PuPaPtSe crystal. The functional is PBE-GGA.

```
data_PuPaPtSe
_chemical_formula_sum 'Pu3 Pa3 Pt3 Se3'
_space_group_name_H-M_alt 'R 3 m'
_space_group_IT_number 160
_space_group_name_Hall 'R 3 -2"'
_cell_length_a 3.8668
_cell_length_b 3.8668
_cell_length_c 23.0325
_cell_angle_alpha 90.00
_cell_angle_beta 90.00
_cell_angle_gamma 120.00
loop_
_atom_site_label
_atom_site_type_symbol
_atom_site_fract_x
_atom_site_fract_y
_atom_site_fract_z
_atom_site_occupancy
Pu1 Pu 0.0000 0.0000 0.0000 1
Pa1 Pa 0.0000 0.0000 0.8225 1
Pt1 Pt 0.0000 0.0000 0.4149 1
Se1 Se 0.0000 0.0000 0.5774 1
```

Formation energy (no corrections)   -956.4 meV per atom

(3)
This record from Alexandria describes a relaxed Pu2PaSi3Pt4 crystal. The functional is PBE-GGA.

```
data_Pu2PaSi3Pt4
_chemical_formula_sum 'Pu2 Pa1 Si3 Pt4'
_space_group_name_H-M_alt 'P -4 m 2'
_space_group_IT_number 115
_cell_length_a 4.2206
_cell_length_b 4.2206
_cell_length_c 10.9716
_cell_angle_alpha 90.00
_cell_angle_beta 90.00
_cell_angle_gamma 90.00
loop_
_space_group_symop_operation_xyz
'x,y,z'
'y,-x,-z'
'-x,-y,z'
'-y,x,-z'
'-x,y,z'
'-y,-x,-z'
'x,-y,z'
'y,x,-z'
loop_
_atom_site_label
_atom_site_type_symbol
_atom_site_fract_x
_atom_site_fract_y
_atom_site_fract_z
_atom_site_occupancy
Pu1 Pu 0.0000 0.5000 0.2379 1
Pa1 Pa 0.0000 0.0000 0.5000 1
Si1 Si 0.0000 0.5000 0.8838 1
Si2 Si 0.5000 0.5000 0.5000 1
Pt1 Pt 0.0000 0.0000 0.0000 1
Pt2 Pt 0.0000 0.5000 0.6669 1
Pt3 Pt 0.5000 0.5000 0.0000 1
```

Formation energy (no corrections)   -794.3 meV per atom

(4)
This record from Alexandria describes a relaxed PuPaSnPt crystal. The functional is PBE-GGA.

```
data_PuPaSnPt
_chemical_formula_sum 'Pu1 Pa1 Sn1 Pt1'
_space_group_name_H-M_alt 'P 3 m 1'
_space_group_IT_number 156
_cell_length_a 4.8487
_cell_length_b 4.8487
_cell_length_c 5.4938
_cell_angle_alpha 90.00
_cell_angle_beta 90.00
_cell_angle_gamma 120.00
loop_
_space_group_symop_operation_xyz
'x,y,z'
'-y,x-y,z'
'-x+y,-x,z'
'-y,-x,z'
'-x+y,y,z'
'x,x-y,z'
loop_
_atom_site_label
_atom_site_type_symbol
_atom_site_fract_x
_atom_site_fract_y
_atom_site_fract_z
_atom_site_occupancy
Pu1 Pu 0.0000 0.0000 0.0000 1
Pa1 Pa 0.3333 0.6667 0.8771 1
Sn1 Sn 0.6667 0.3333 0.2750 1
Pt1 Pt 0.6667 0.3333 0.7472 1
```

E_tot   -8.59 eV/atom

(5)
This record from Alexandria describes a relaxed PuPaTcPt crystal. The functional is PBE-GGA.

```
data_PuPaTcPt
_chemical_formula_sum 'Pu4 Pa4 Tc4 Pt4'
_space_group_name_H-M_alt 'F -4 3 m'
_space_group_IT_number 216
_space_group_name_Hall 'F -4 2 3'
_cell_length_a 6.9088
_cell_length_b 6.9088
_cell_length_c 6.9088
_cell_angle_alpha 90.00
_cell_angle_beta 90.00
_cell_angle_gamma 90.00
loop_
_atom_site_label
_atom_site_type_symbol
_atom_site_fract_x
_atom_site_fract_y
_atom_site_fract_z
_atom_site_occupancy
Pu1 Pu 0.0000 0.0000 0.0000 1
Pa1 Pa 0.0000 0.0000 0.5000 1
Tc1 Tc 0.2500 0.2500 0.7500 1
Pt1 Pt 0.2500 0.2500 0.2500 1
```

E_tot   -10.43 eV/atom

(6)
This record from Alexandria describes a relaxed Pu3Pa3TcPt2 crystal. The functional is PBE-GGA.

```
data_Pu3Pa3TcPt2
_chemical_formula_sum 'Pu3 Pa3 Tc1 Pt2'
_space_group_name_H-M_alt 'P -6 2 m'
_space_group_IT_number 189
_space_group_name_Hall 'P -6 -2'
_cell_length_a 7.8138
_cell_length_b 7.8138
_cell_length_c 3.9671
_cell_angle_alpha 90.00
_cell_angle_beta 90.00
_cell_angle_gamma 120.00
loop_
_atom_site_label
_atom_site_type_symbol
_atom_site_fract_x
_atom_site_fract_y
_atom_site_fract_z
_atom_site_occupancy
Pu1 Pu 0.0000 0.4074 0.0000 1
Pa1 Pa 0.0000 0.7377 0.5000 1
Tc1 Tc 0.0000 0.0000 0.0000 1
Pt1 Pt 0.3333 0.6667 0.5000 1
```

E_tot   -10.79 eV/atom